Compound: CsTlHgPPbO
Source: the Alexandria database
Functional: PBE
Structure: relaxed

Unit cell a=4.0717 b=4.0717 c=10.8177 alpha=100.85 beta=100.85 gamma=89.99
With the nearest neighbours (Å) after each atom.
Element x y z (fractional)
Cs1 0.0000 0.0000 0.0000  4 O 3.08
Tl1 0.6526 0.6526 0.3112  4 Hg 3.11, 1 Pb 3.38
Hg1 0.2092 0.2092 0.4244  4 Tl 3.11, 1 P 3.32
P1 0.3715 0.3715 0.7425  1 O 1.59
Pb1 0.8176 0.8176 0.6355  4 P 3.09, 1 Tl 3.38
O1 0.4477 0.4477 0.8949  1 P 1.59

Values from the calculation:
Density: 7.61 Mg/m³
Raw formation energy: -529 meV per atom
SG: Cm, No. 8


Compound: CsTlHgPPbO
Source: the Alexandria database
Functional: PBE
Structure: relaxed

Unit cell a=8.8957 b=8.8957 c=4.7828 alpha=90.29 beta=90.29 gamma=33.63
With the nearest neighbours (Å) after each atom.
Element x y z (fractional)
Cs1 0.0000 0.0000 0.0000  2 O 2.99
Tl1 0.6951 0.6951 0.9938  2 P 3.02
Hg1 0.3497 0.3497 0.9979  2 Pb 3.26, 4 O 3.59-3.60, 4 P 3.60-3.61, 2 Cs 3.63
P1 0.8032 0.8032 0.4956  1 O 1.56
Pb1 0.2198 0.2198 0.4954  2 P 2.94, 2 Hg 3.26
O1 0.8947 0.8947 0.4985  1 P 1.56

Values from the calculation:
Density: 6.27 Mg/m³
Raw formation energy: -450 meV per atom
SG: Cm, No. 8


Compound: CsTlHgPPbO
Source: the Alexandria database
Functional: PBE
Structure: relaxed

Unit cell a=12.2737 b=12.2737 c=12.2737 alpha=20.36 beta=20.36 gamma=20.36
With the nearest neighbours (Å) after each atom.
Element x y z (fractional)
Cs1 0.0000 0.0000 0.0000  3 O 2.88
Tl1 0.1446 0.1446 0.1446  3 Hg 3.24, 3 Pb 3.52
Hg1 0.7541 0.7541 0.7541  3 Tl 3.24
P1 0.2498 0.2498 0.2498  1 O 1.59
Pb1 0.5467 0.5467 0.5467  3 P 2.83
O1 0.2939 0.2939 0.2939  1 P 1.59

Values from the calculation:
Density: 6.71 Mg/m³
Raw formation energy: -559 meV per atom
SG: R3m, No. 160


Compound: CsTlHgPPbO
Source: the Alexandria database
Functional: PBE
Structure: relaxed

Unit cell a=4.3204 b=4.3204 c=12.3431 alpha=100.15 beta=100.15 gamma=60.30
With the nearest neighbours (Å) after each atom.
Element x y z (fractional)
Cs1 0.0000 0.0000 0.0000  3 O 2.88
Tl1 0.8538 0.8538 0.5643  3 Hg 3.26-3.28, 3 Pb 3.52-3.53
Hg1 0.5762 0.5762 0.7386  3 Tl 3.26-3.28
P1 0.7489 0.7489 0.2496  1 O 1.59
Pb1 0.1196 0.1196 0.3585  3 P 2.82
O1 0.7053 0.7053 0.1183  1 P 1.59

Values from the calculation:
Density: 6.71 Mg/m³
Raw formation energy: -557 meV per atom
SG: Cm, No. 8


Compound: CsTlHgPPbO
Source: the Alexandria database
Functional: PBE
Structure: relaxed

Unit cell a=4.5417 b=4.5490 c=9.5325 alpha=90.29 beta=90.36 gamma=90.00
With the nearest neighbours (Å) after each atom.
Element x y z (fractional)
Cs1 0.0000 0.0000 0.0000  4 O 3.23-3.25
Tl1 0.5083 0.5075 0.6518  2 Hg 3.24-3.25, 2 Pb 3.35
Hg1 0.0067 0.5043 0.4082  2 P 2.96-2.97, 4 Pb 3.21-3.22, 2 Tl 3.24-3.25
P1 0.5030 0.5019 0.2084  1 O 1.58
Pb1 0.5074 0.0042 0.3934  2 P 2.88, 4 Hg 3.21-3.22
O1 0.5003 0.4990 0.0428  1 P 1.58

Values from the calculation:
Density: 6.68 Mg/m³
Raw formation energy: -508 meV per atom
SG: P1, No. 1


Compound: CsTlHgPPbO
Source: the Alexandria database
Functional: PBE
Structure: relaxed

Unit cell a=9.2871 b=9.2871 c=5.1521 alpha=97.12 beta=97.12 gamma=27.08
With the nearest neighbours (Å) after each atom.
Element x y z (fractional)
Cs1 0.0000 0.0000 0.0000  2 O 3.07
Tl1 0.6740 0.6740 0.6745  2 Hg 3.13, 1 Pb 3.18
Hg1 0.2946 0.2946 0.8486  1 P 2.89, 2 Tl 3.13, 2 Pb 3.19
P1 0.3969 0.3969 0.4610  1 O 1.57
Pb1 0.8026 0.8026 0.3057  2 P 2.81
O1 0.4809 0.4809 0.4072  1 P 1.57

Values from the calculation:
Density: 6.56 Mg/m³
Raw formation energy: -519 meV per atom
SG: Cm, No. 8


Compound: CsTlHgPPbO
Source: the Alexandria database
Functional: PBE
Structure: relaxed

Unit cell a=4.9646 b=5.8797 c=8.1281 alpha=84.12 beta=72.44 gamma=65.22
With the nearest neighbours (Å) after each atom.
Element x y z (fractional)
Cs1 0.0000 0.0000 0.0000  3 O 3.26-3.48
Tl1 0.4892 0.3906 0.6322  1 P 2.99, 2 Hg 3.14-3.16
Hg1 0.1969 0.1848 0.4217  1 P 2.83, 2 Tl 3.14-3.16
P1 0.5115 0.6768 0.3064  1 O 1.56
Pb1 0.8681 0.7830 0.4880  2 P 2.90-2.91, 1 Hg 3.22
O1 0.6289 0.6378 0.1063  1 P 1.56

Values from the calculation:
Density: 6.41 Mg/m³
Raw formation energy: -478 meV per atom
SG: P1, No. 1


Compound: Cs2PaHgO4
Source: the Alexandria database
Functional: PBE
Structure: relaxed

Unit cell a=6.7861 b=6.7861 c=6.7861 alpha=120.92 beta=120.92 gamma=88.41
With the nearest neighbours (Å) after each atom.
Element x y z (fractional)
Cs1 0.0000 0.0000 0.0000  4 O 3.15
Cs2 0.7500 0.2500 0.5000  4 O 2.96
Pa1 0.5000 0.5000 0.0000  4 O 2.06
Hg1 0.2500 0.7500 0.5000  4 O 2.65
O1 0.2253 0.5986 0.0393  1 Pa 2.06
O2 0.4014 0.4407 0.6268  1 Pa 2.06
O3 0.5593 0.1861 0.9607  1 Pa 2.06
O4 0.8139 0.7747 0.3732  1 Pa 2.06

Values from the calculation:
Density: 5.81 Mg/m³
Raw formation energy: -1890 meV per atom
SG: I-4, No. 82


Compound: CsPaHg2O6
Source: the Alexandria database
Functional: PBE
Structure: relaxed

Unit cell a=5.9262 b=5.9262 c=5.1157 alpha=93.57 beta=93.57 gamma=88.79
With the nearest neighbours (Å) after each atom.
Element x y z (fractional)
Cs1 0.0000 0.0000 0.0000  6 O 2.99-3.06
Pa1 0.5000 0.5000 0.0000  4 O 2.11
Hg1 0.0000 0.5000 0.5000  4 O 2.08-2.26
Hg2 0.5000 0.0000 0.5000  4 O 2.08-2.26
O1 0.2069 0.5758 0.2035  1 Hg 2.08, 1 Pa 2.11
O2 0.2852 0.2852 0.6717  2 Hg 2.26, 1 Pa 2.37
O3 0.4242 0.7931 0.7965  1 Hg 2.08, 1 Pa 2.11
O4 0.5758 0.2069 0.2035  1 Hg 2.08, 1 Pa 2.11
O5 0.7148 0.7148 0.3283  2 Hg 2.26, 1 Pa 2.37
O6 0.7931 0.4242 0.7965  1 Hg 2.08, 1 Pa 2.11

Values from the calculation:
Density: 7.99 Mg/m³
Raw formation energy: -1460 meV per atom
SG: C2/m, No. 12


Compound: CsPaHgO4
Source: the Alexandria database
Functional: PBE
Structure: relaxed

Unit cell a=7.7570 b=7.7570 c=7.7570 alpha=126.46 beta=125.71 gamma=79.75
With the nearest neighbours (Å) after each atom.
Element x y z (fractional)
Cs1 0.4085 0.1585 0.2500  4 O 2.82-2.83
Cs2 0.5915 0.8415 0.7500  4 O 2.82-2.83
Pa1 0.0000 0.5000 0.5000  6 O 2.20-2.23
Pa2 0.5000 0.5000 0.0000  6 O 2.20-2.23
Hg1 0.0000 0.0000 0.5000  4 O 2.38
Hg2 0.0000 0.5000 0.0000  4 O 2.38
O1 0.1342 0.6846 0.4497  1 Pa 2.23, 2 Hg 2.38
O2 0.2607 0.3253 0.5647  2 Pa 2.20
O3 0.2607 0.6960 0.9353  2 Pa 2.20
O4 0.2651 0.3154 0.9497  1 Pa 2.23, 2 Hg 2.38
O5 0.7349 0.6846 0.0503  1 Pa 2.23, 2 Hg 2.38
O6 0.7393 0.3040 0.0647  2 Pa 2.20
O7 0.7393 0.6747 0.4353  2 Pa 2.20
O8 0.8658 0.3154 0.5503  1 Pa 2.23, 2 Hg 2.38

Values from the calculation:
Density: 7.09 Mg/m³
Raw formation energy: -2147 meV per atom
SG: Imma, No. 74


Compound: Cs2HgPbO4
Source: the Alexandria database
Functional: PBE
Structure: relaxed

Unit cell a=6.1809 b=6.1809 c=6.4907 alpha=118.80 beta=118.80 gamma=86.28
With the nearest neighbours (Å) after each atom.
Element x y z (fractional)
Cs1 0.0000 0.0000 0.0000  6 O 3.12-3.32
Cs2 0.7613 0.2387 0.5000  6 O 2.99-3.35
Hg1 0.2813 0.7187 0.5000  2 O 2.09
Pb1 0.4785 0.5215 0.0000  4 O 2.06-2.19
O1 0.1740 0.5485 0.0879  1 Hg 2.09, 1 Pb 2.19
O2 0.3496 0.1955 0.6244  1 Pb 2.06
O3 0.4515 0.8260 0.9121  1 Hg 2.09, 1 Pb 2.19
O4 0.8045 0.6504 0.3756  1 Pb 2.06

Values from the calculation:
Density: 6.59 Mg/m³
Raw formation energy: -957 meV per atom
SG: C2, No. 5


Compound: CsHgPdO2
Source: the Alexandria database
Functional: PBE
Structure: relaxed

Unit cell a=7.7878 b=7.7878 c=4.5465 alpha=90.00 beta=90.00 gamma=125.49
With the nearest neighbours (Å) after each atom.
Element x y z (fractional)
Cs1 0.2500 0.7500 0.7751  2 O 2.84
Cs2 0.7500 0.2500 0.2249  2 O 2.84
Hg1 0.0000 0.0000 0.0000  2 O 2.12
Hg2 0.5000 0.5000 0.0000  2 O 2.12
Pd1 0.2500 0.2500 0.5000  4 O 2.30
Pd2 0.7500 0.7500 0.5000  4 O 2.30
O1 0.0954 0.9046 0.3660  1 Hg 2.12, 2 Pd 2.30
O2 0.4046 0.5954 0.3660  1 Hg 2.12, 2 Pd 2.30
O3 0.5954 0.4046 0.6340  1 Hg 2.12, 2 Pd 2.30
O4 0.9046 0.0954 0.6340  1 Hg 2.12, 2 Pd 2.30

Values from the calculation:
Density: 6.98 Mg/m³
Raw formation energy: -405 meV per atom
SG: Cmme, No. 67